[1]
VASP calculation (PBE-GGA) on a geometry-optimized HoTl2IO8 structure.

Output
**ΔE_f (raw)**: -1.073 eV/atom
**Calculated density**: 7.86 g/cm³

a = 5.083 Å, b = 5.098 Å, c = 6.769 Å
α = 91.76°, β = 91.80°, γ = 91.96°
Positions (direct):
Ho: 0.000 0.000 0.000
Tl: 0.482 0.482 0.750
Tl: 0.518 0.518 0.250
I: 0.000 0.000 0.500
O: 0.170 0.822 0.290
O: 0.185 0.837 0.710
O: 0.271 0.282 0.497
O: 0.302 0.309 0.015
O: 0.698 0.691 0.985
O: 0.729 0.718 0.503
O: 0.815 0.163 0.290
O: 0.830 0.178 0.710

[2]
VASP calculation (PBE-GGA) on a geometry-optimized HoTlIO6 structure.

Output
**ΔE_f (raw)**: -1.247 eV/atom
**Calculated density**: 7.05 g/cm³

a = 5.686 Å, b = 5.686 Å, c = 9.962 Å
α = 90.00°, β = 90.00°, γ = 120.00°
Positions (direct):
Ho: 0.333 0.667 0.250
Ho: 0.667 0.333 0.750
Tl: 0.000 0.000 0.000
Tl: 0.000 0.000 0.500
I: 0.333 0.667 0.750
I: 0.667 0.333 0.250
O: 0.046 0.396 0.642
O: 0.046 0.650 0.858
O: 0.350 0.396 0.858
O: 0.350 0.954 0.642
O: 0.396 0.046 0.142
O: 0.396 0.350 0.358
O: 0.604 0.650 0.642
O: 0.604 0.954 0.858
O: 0.650 0.046 0.358
O: 0.650 0.604 0.142
O: 0.954 0.350 0.142
O: 0.954 0.604 0.358

[3]
VASP calculation (PBE-GGA) on a geometry-optimized HoTl3I2O9 structure.

Output
**ΔE_f (raw)**: -0.941 eV/atom
**Calculated density**: 8.57 g/cm³

a = 6.002 Å, b = 6.002 Å, c = 7.300 Å
α = 90.00°, β = 90.00°, γ = 120.00°
Positions (direct):
Ho: 0.000 0.000 0.000
Tl: 0.000 0.000 0.500
Tl: 0.333 0.667 0.184
Tl: 0.667 0.333 0.816
I: 0.333 0.667 0.674
I: 0.667 0.333 0.326
O: 0.000 0.500 0.500
O: 0.181 0.362 0.823
O: 0.181 0.819 0.823
O: 0.362 0.181 0.177
O: 0.500 0.000 0.500
O: 0.500 0.500 0.500
O: 0.638 0.819 0.823
O: 0.819 0.181 0.177
O: 0.819 0.638 0.177

[4]
VASP calculation (PBE-GGA) on a geometry-optimized Ho2TmIO8 structure.

Output
**ΔE_f (raw)**: -2.375 eV/atom
**Calculated density**: 7.41 g/cm³

a = 5.000 Å, b = 5.000 Å, c = 6.759 Å
α = 90.00°, β = 90.00°, γ = 91.04°
Positions (direct):
Ho: 0.000 0.000 0.247
Ho: 0.000 0.000 0.753
Tm: 0.500 0.500 0.000
I: 0.500 0.500 0.500
O: 0.194 0.194 0.000
O: 0.230 0.230 0.500
O: 0.320 0.680 0.289
O: 0.320 0.680 0.711
O: 0.680 0.320 0.289
O: 0.680 0.320 0.711
O: 0.770 0.770 0.500
O: 0.806 0.806 0.000

Number 1: total DFT energy (no corrections) -5.284 eV/atom, size of the total moment 0.00 μB per atom. Number 2: total DFT energy (no corrections) -5.496 eV/atom, size of the total moment 0.00 μB per atom. Number 3: total DFT energy (no corrections) -4.901 eV/atom, size of the total moment 0.00 μB per atom. Number 4: total DFT energy (no corrections) -6.945 eV/atom, size of the total moment 0.00 μB per atom.